No. 1
This record from the Alexandria database describes an optimized crystal structure of AcPm3Mg4. The functional is PBE.

Results
- DFT formation energy (eV/atom) = -0.0920
- E (eV/atom) = -3.1844
- total magnetic moment (μB per formula unit) = 0.00
- space group = Pmma, No. 51
- calculated volume (A^3/atom) = 30.325

Geometry as POSCAR:
```
AcPm3Mg4
1.0
-4.0639 2.0670 3.1628
0.1388 -6.5125 4.4344
7.5531 4.6846 6.6435
Pm Mg Ac
6 8 2
Direct
0.4986 0.5000 0.2500
0.0000 0.0000 0.5000
0.0000 0.0000 0.0000
0.4983 0.0000 0.2500
0.5017 0.0000 0.7500
0.5014 0.5000 0.7500
0.5000 0.7622 0.0000
0.5000 0.2378 0.5000
0.0021 0.2378 0.7500
0.5000 0.7622 0.5000
0.9979 0.2378 0.2500
0.9979 0.7622 0.2500
0.0021 0.7622 0.7500
0.5000 0.2378 0.0000
0.0000 0.5000 0.0000
0.0000 0.5000 0.5000
```

***

No. 2
This record from the Alexandria database describes an optimized crystal structure of Ac3PmMg2. The functional is PBE.

Results
- DFT formation energy (eV/atom) = -0.0350
- E (eV/atom) = -3.4125
- total magnetic moment (μB per formula unit) = 0.00
- space group = P4/mmm, No. 123
- calculated volume (A^3/atom) = 36.700

Geometry as POSCAR:
```
Ac3PmMg2
1.0
-2.9315 -0.1830 -2.7740
-2.4781 -1.6552 2.7280
-4.2074 12.2915 3.6357
Pm Ac Mg
1 3 2
Direct
0.5000 0.5000 0.5000
0.0000 0.0000 0.0000
0.0000 0.0000 0.6889
0.0000 0.0000 0.3111
0.5000 0.5000 0.1566
0.5000 0.5000 0.8434
```